An optimized crystal structure of Mg7Tl3In2, computed with PBE-GGA. Values from VASP.

Calculated values
The calculation puts the energy above the lowest structure with this stoichiometry at 0 meV per atom. The total energy is -23.525 eV for the cell shown.

The structure in Quantum ESPRESSO input format:
```
&SYSTEM
  ibrav = 0, nat = 12, ntyp = 3
/
ATOMIC_SPECIES
In 114.82 In.upf
Tl 204.38 Tl.upf
Mg 24.30 Mg.upf
CELL_PARAMETERS angstrom
5.2080 0.0000 0.0000
0.0000 5.2438 0.0000
0.0000 -2.6219 11.4110
ATOMIC_POSITIONS crystal
In 0.0000 0.8512 0.7023
Tl 0.5000 0.3417 0.6833
In 0.0000 0.1488 0.2977
Mg 0.0000 0.5766 0.1531
Tl 0.5000 0.6583 0.3167
Mg 0.0000 0.7193 0.4386
Mg 0.5000 0.9245 0.8490
Tl 0.5000 0.5000 0.0000
Mg 0.0000 0.2807 0.5614
Mg 0.0000 0.0000 0.0000
Mg 0.0000 0.4234 0.8469
Mg 0.5000 0.0755 0.1510
```

An optimized crystal structure of MgTl2In8, computed with PBE-GGA. Values from VASP.

Calculated values
The total energy is -27.844 eV for the cell shown.

The structure in Quantum ESPRESSO input format:
```
&SYSTEM
  ibrav = 0, nat = 11, ntyp = 3
/
ATOMIC_SPECIES
In 114.82 In.upf
Tl 204.38 Tl.upf
Mg 24.30 Mg.upf
CELL_PARAMETERS angstrom
4.6666 0.0000 0.0000
0.0000 4.6666 0.0000
0.0000 0.0000 14.1529
ATOMIC_POSITIONS crystal
In 0.0000 0.5000 0.5000
In 0.5000 0.5000 0.6892
Tl 0.0000 0.0000 0.3188
In 0.5000 0.0000 0.5000
In 0.0000 0.5000 0.8621
In 0.0000 0.5000 0.1379
Mg 0.0000 0.0000 0.0000
In 0.5000 0.0000 0.1379
Tl 0.0000 0.0000 0.6812
In 0.5000 0.5000 0.3108
In 0.5000 0.0000 0.8621
```

An optimized crystal structure of Mg12TlIn3, computed with PBE-GGA. Values from VASP.

Calculated values
The total energy is -30.853 eV for the cell shown.

The structure in Quantum ESPRESSO input format:
```
&SYSTEM
  ibrav = 0, nat = 16, ntyp = 3
/
ATOMIC_SPECIES
Mg 24.30 Mg.upf
In 114.82 In.upf
Tl 204.38 Tl.upf
CELL_PARAMETERS angstrom
4.4636 0.0000 0.0000
0.0000 4.4636 0.0000
0.0000 0.0000 18.3471
ATOMIC_POSITIONS crystal
Mg 0.0000 0.5000 0.6240
Mg 0.5000 0.0000 0.8726
In 0.0000 0.0000 0.7487
In 0.0000 0.0000 0.5000
In 0.0000 0.0000 0.2513
Mg 0.5000 0.5000 0.0000
Mg 0.5000 0.0000 0.6240
Mg 0.5000 0.0000 0.1274
Mg 0.5000 0.0000 0.3760
Tl 0.0000 0.0000 0.0000
Mg 0.0000 0.5000 0.8726
Mg 0.0000 0.5000 0.3760
Mg 0.5000 0.5000 0.5000
Mg 0.0000 0.5000 0.1274
Mg 0.5000 0.5000 0.2512
Mg 0.5000 0.5000 0.7488
```

An optimized crystal structure of Mg3Tl8In, computed with PBE-GGA. Values from VASP.

Calculated values
The total energy is -26.108 eV for the cell shown.

The structure in Quantum ESPRESSO input format:
```
&SYSTEM
  ibrav = 0, nat = 12, ntyp = 3
/
ATOMIC_SPECIES
Tl 204.38 Tl.upf
Mg 24.30 Mg.upf
In 114.82 In.upf
CELL_PARAMETERS angstrom
-3.0583 0.3917 5.4065
5.6882 -2.5194 -0.1822
4.0607 9.0497 1.6414
ATOMIC_POSITIONS crystal
Tl 0.0001 0.6690 0.7662
Tl 0.6690 0.6689 0.2338
Tl 0.3310 0.3311 0.7662
Mg 0.0000 0.0000 0.0000
Tl 0.6667 0.3333 0.5001
Tl 0.3333 0.6667 0.4999
Tl 0.6689 0.9999 0.7662
Mg 0.3333 0.6667 0.0001
Tl 0.3311 0.0001 0.2338
Tl 0.9999 0.3310 0.2338
Mg 0.6667 0.3333 0.9999
In 0.0000 0.0000 0.5000
```

An optimized crystal structure of Mg12Tl5In2, computed with PBE-GGA. Values from VASP.

Calculated values
The calculation puts the energy above the lowest structure with this stoichiometry at 75 meV per atom. The total energy is -35.267 eV for the cell shown.

The structure in Quantum ESPRESSO input format:
```
&SYSTEM
  ibrav = 0, nat = 19, ntyp = 3
/
ATOMIC_SPECIES
In 114.82 In.upf
Mg 24.30 Mg.upf
Tl 204.38 Tl.upf
CELL_PARAMETERS angstrom
-5.9010 -1.8320 -1.1309
3.0791 -3.8067 7.5449
-3.2555 8.5358 3.1597
ATOMIC_POSITIONS crystal
In 0.2490 0.0000 0.0000
Mg 0.9513 0.3958 0.1224
Mg 0.8920 0.2859 0.6117
Tl 0.0000 0.0000 0.5000
Mg 0.0937 0.1874 0.2858
Mg 0.5225 0.0450 0.3288
Mg 0.6061 0.7141 0.3883
Mg 0.1080 0.7141 0.3883
Mg 0.9063 0.8126 0.7142
Tl 0.3577 0.7154 0.1325
Mg 0.0487 0.6042 0.8776
Mg 0.4775 0.9550 0.6712
Mg 0.5555 0.6042 0.8776
Mg 0.3939 0.2859 0.6117
Tl 0.6423 0.2846 0.8675
Tl 0.7062 0.4124 0.3952
In 0.7510 0.0000 0.0000
Mg 0.4445 0.3958 0.1224
Tl 0.2938 0.5876 0.6048
```

An optimized crystal structure of MgTl16In12, computed with PBE-GGA. Values from VASP.

Calculated values
The total energy is -71.974 eV for the cell shown.

The structure in Quantum ESPRESSO input format:
```
&SYSTEM
  ibrav = 0, nat = 29, ntyp = 3
/
ATOMIC_SPECIES
In 114.82 In.upf
Tl 204.38 Tl.upf
Mg 24.30 Mg.upf
CELL_PARAMETERS angstrom
-9.0852 -4.8679 0.7505
7.3128 -6.7152 -2.8687
2.4815 4.0532 9.1746
ATOMIC_POSITIONS crystal
In 0.3662 0.1869 0.9991
Tl 0.6779 0.4012 0.0051
Tl 0.4012 0.6779 0.0051
Tl 0.3245 0.3245 0.7150
Tl 0.6391 0.9962 0.9992
Mg 0.5998 0.5998 0.2852
Tl 0.6053 0.2894 0.6048
In 0.8099 0.1813 0.8139
Tl 0.0068 0.0068 0.6444
Tl 0.0012 0.3966 0.6795
In 0.6429 0.6429 0.8251
Tl 0.3966 0.0012 0.6795
In 0.3686 0.9991 0.1882
In 0.1831 0.9982 0.3646
In 0.8030 0.8030 0.1872
In 0.1813 0.8099 0.8139
In 0.8184 0.6330 0.6241
Tl 0.6813 0.0000 0.4002
In 0.1869 0.3662 0.9991
In 0.6330 0.8184 0.6241
Tl 0.3184 0.7115 0.3161
Tl 0.2894 0.6053 0.6048
Tl 0.9986 0.9986 0.0001
Tl 0.0000 0.6813 0.4002
In 0.9982 0.1831 0.3646
Tl 0.9962 0.6391 0.9992
In 0.9991 0.3686 0.1882
Tl 0.3617 0.3617 0.3534
Tl 0.7115 0.3184 0.3161
```

An optimized crystal structure of MgTl5In4, computed with PBE-GGA. Values from VASP.

Calculated values
The total energy is -24.033 eV for the cell shown.

The structure in Quantum ESPRESSO input format:
```
&SYSTEM
  ibrav = 0, nat = 10, ntyp = 3
/
ATOMIC_SPECIES
Tl 204.38 Tl.upf
In 114.82 In.upf
Mg 24.30 Mg.upf
CELL_PARAMETERS angstrom
4.0601 0.0000 0.0000
0.0000 4.0601 0.0000
0.0000 0.0000 17.1873
ATOMIC_POSITIONS crystal
Tl 0.5000 0.5000 0.7043
In 0.0000 0.0000 0.8069
In 0.0000 0.0000 0.6035
Tl 0.5000 0.5000 0.5000
In 0.0000 0.0000 0.3965
Tl 0.5000 0.5000 0.9042
In 0.0000 0.0000 0.1931
Mg 0.0000 0.0000 0.0000
Tl 0.5000 0.5000 0.0958
Tl 0.5000 0.5000 0.2957
```

An optimized crystal structure of MgTl6In3, computed with PBE-GGA. Values from VASP.

Calculated values
The total energy is -47.420 eV for the cell shown.

The structure in Quantum ESPRESSO input format:
```
&SYSTEM
  ibrav = 0, nat = 20, ntyp = 3
/
ATOMIC_SPECIES
Mg 24.30 Mg.upf
In 114.82 In.upf
Tl 204.38 Tl.upf
CELL_PARAMETERS angstrom
-0.7453 1.9598 2.8177
-11.0214 -10.9242 4.6828
14.7780 2.6402 2.0726
ATOMIC_POSITIONS crystal
Mg 0.7500 0.0836 0.7920
In 0.7500 0.4897 0.9040
Tl 0.7500 0.9441 0.0472
In 0.2500 0.5103 0.0960
In 0.7500 0.6564 0.3495
Tl 0.7500 0.0836 0.4831
Tl 0.2500 0.6652 0.9055
In 0.7500 0.2617 0.2423
Tl 0.7500 0.4735 0.5835
Tl 0.7500 0.8187 0.6502
In 0.2500 0.7383 0.7577
Tl 0.7500 0.7589 0.2158
Tl 0.2500 0.2411 0.7842
Tl 0.2500 0.1813 0.3498
Mg 0.2500 0.9164 0.2080
Tl 0.2500 0.0559 0.9528
Tl 0.2500 0.5265 0.4165
In 0.2500 0.3436 0.6505
Tl 0.7500 0.3348 0.0945
Tl 0.2500 0.9164 0.5169
```

An optimized crystal structure of MgTl3In3, computed with PBE-GGA. Values from VASP.

Calculated values
The calculation puts the energy above the lowest structure with this stoichiometry at 453 meV per atom. The total energy is -27.309 eV for the cell shown.

The structure in Quantum ESPRESSO input format:
```
&SYSTEM
  ibrav = 0, nat = 14, ntyp = 3
/
ATOMIC_SPECIES
Mg 24.30 Mg.upf
Tl 204.38 Tl.upf
In 114.82 In.upf
CELL_PARAMETERS angstrom
8.3542 0.0000 0.0000
0.0000 8.3542 0.0000
0.0000 0.0000 8.3542
ATOMIC_POSITIONS crystal
Mg 0.5000 0.5000 0.5000
Tl 0.5000 0.2500 0.0000
In 0.0000 0.2500 0.5000
Tl 0.7500 0.0000 0.5000
In 0.7500 0.5000 0.0000
Tl 0.0000 0.5000 0.7500
Tl 0.2500 0.0000 0.5000
Mg 0.0000 0.0000 0.0000
In 0.2500 0.5000 0.0000
In 0.5000 0.0000 0.7500
Tl 0.5000 0.7500 0.0000
Tl 0.0000 0.5000 0.2500
In 0.0000 0.7500 0.5000
In 0.5000 0.0000 0.2500
```

Number 1: calculated formation energy 0.0177 eV/atom. Number 2: calculated formation energy 0.0355 eV/atom. Number 3: calculated formation energy -0.0710 eV/atom. Number 4: calculated formation energy 0.0287 eV/atom. Number 5: calculated formation energy 0.0619 eV/atom. Number 6: calculated formation energy 0.0118 eV/atom. Number 7: calculated formation energy 0.0346 eV/atom. Number 8: calculated formation energy 0.0297 eV/atom. Number 9: calculated formation energy 0.4649 eV/atom.